i.
! Ti2ReF (GGA-PBE, relaxed); values from VASP
! Fermi-level density of states in states/eV per atom: 0.76
! Space group: I-42d (122)
! V in Å³ per atom: 15.03
&SYSTEM
  ibrav = 0, nat = 8, ntyp = 3
/
ATOMIC_SPECIES
F 19.00 F.upf
Ti 47.87 Ti.upf
Re 186.21 Re.upf
ATOMIC_POSITIONS crystal
F 0.250 0.750 0.500
F 0.500 0.500 0.000
Ti 0.375 0.437 0.750
Ti 0.563 0.125 0.250
Ti 0.187 0.625 0.250
Ti 0.875 0.813 0.750
Re 0.000 0.000 0.000
Re 0.750 0.250 0.500
CELL_PARAMETERS angstrom
-5.328 -0.837 -2.785
0.072 -5.850 1.618
-4.191 -2.597 2.183

ii.
! Ti2ReF (GGA-PBE, relaxed); values from VASP
! Fermi-level density of states in states/eV per atom: 0.85
! Space group: Fm-3m (225)
! V in Å³ per atom: 14.64
&SYSTEM
  ibrav = 0, nat = 4, ntyp = 3
/
ATOMIC_SPECIES
Ti 47.87 Ti.upf
Re 186.21 Re.upf
F 19.00 F.upf
ATOMIC_POSITIONS crystal
Ti 0.750 0.750 0.750
Ti 0.250 0.250 0.250
Re 0.500 0.500 0.500
F 0.000 0.000 0.000
CELL_PARAMETERS angstrom
0.000 3.082 3.082
3.082 0.000 3.082
3.082 3.082 0.000

Which one is most stable, and which one is least stable? i is the most stable of them, while ii is the least stable.

i.
! TiReF2 (GGA-PBE, relaxed); values from VASP
! Fermi-level density of states in states/eV per atom: 0.72
! Space group: R-3m (166)
! V in Å³ per atom: 11.96
&SYSTEM
  ibrav = 0, nat = 4, ntyp = 3
/
ATOMIC_SPECIES
Re 186.21 Re.upf
F 19.00 F.upf
Ti 47.87 Ti.upf
ATOMIC_POSITIONS crystal
Re 0.000 0.000 0.000
F 0.902 0.902 0.902
F 0.098 0.098 0.098
Ti 0.500 0.500 0.500
CELL_PARAMETERS angstrom
1.569 0.000 7.476
-0.785 1.359 7.476
-0.785 -1.359 7.476

ii.
! TiReF2 (GGA-PBE, relaxed); values from VASP
! Fermi-level density of states in states/eV per atom: 0.78
! Space group: I-42d (122)
! V in Å³ per atom: 12.76
&SYSTEM
  ibrav = 0, nat = 8, ntyp = 3
/
ATOMIC_SPECIES
F 19.00 F.upf
Re 186.21 Re.upf
Ti 47.87 Ti.upf
ATOMIC_POSITIONS crystal
F 0.121 0.625 0.250
F 0.875 0.879 0.750
F 0.629 0.125 0.250
F 0.375 0.371 0.750
Re 0.750 0.250 0.500
Re 0.000 0.000 0.000
Ti 0.500 0.500 0.000
Ti 0.250 0.750 0.500
CELL_PARAMETERS angstrom
3.645 0.000 0.000
0.000 3.645 0.000
1.822 1.822 7.683

iii.
! TiReF2 (GGA-PBE, relaxed); values from VASP
! Fermi-level density of states in states/eV per atom: 0.73
! Space group: R-3m (166)
! V in Å³ per atom: 16.11
&SYSTEM
  ibrav = 0, nat = 4, ntyp = 3
/
ATOMIC_SPECIES
Ti 47.87 Ti.upf
F 19.00 F.upf
Re 186.21 Re.upf
ATOMIC_POSITIONS crystal
Ti 0.000 0.000 0.000
F 0.939 0.939 0.939
F 0.061 0.061 0.061
Re 0.500 0.500 0.500
CELL_PARAMETERS angstrom
-1.555 -8.322 5.179
-0.146 -6.934 7.098
-2.867 -6.575 6.859

Which one is most stable, and which one is least stable? i is the most stable of them, while ii is the least stable.

i.
! TiRe2F (GGA-PBE, relaxed); values from VASP
! Fermi-level density of states in states/eV per atom: 0.85
! Space group: I-42d (122)
! V in Å³ per atom: 15.67
&SYSTEM
  ibrav = 0, nat = 8, ntyp = 3
/
ATOMIC_SPECIES
Ti 47.87 Ti.upf
Re 186.21 Re.upf
F 19.00 F.upf
ATOMIC_POSITIONS crystal
Ti 0.750 0.250 0.500
Ti 0.000 0.000 0.000
Re 0.375 0.358 0.750
Re 0.875 0.892 0.750
Re 0.642 0.125 0.250
Re 0.108 0.625 0.250
F 0.250 0.750 0.500
F 0.500 0.500 0.000
CELL_PARAMETERS angstrom
3.531 0.000 0.000
0.000 3.531 0.000
1.766 1.766 10.055

ii.
! TiRe2F (GGA-PBE, relaxed); values from VASP
! Fermi-level density of states in states/eV per atom: 1.41
! Space group: Fm-3m (225)
! V in Å³ per atom: 14.28
&SYSTEM
  ibrav = 0, nat = 4, ntyp = 3
/
ATOMIC_SPECIES
Re 186.21 Re.upf
F 19.00 F.upf
Ti 47.87 Ti.upf
ATOMIC_POSITIONS crystal
Re 0.250 0.250 0.250
Re 0.750 0.750 0.750
F 0.000 0.000 0.000
Ti 0.500 0.500 0.500
CELL_PARAMETERS angstrom
0.141 -4.238 -0.843
1.999 -2.683 2.738
-2.310 -2.758 2.396

Which one is most stable, and which one is least stable? i is the most stable of them, while ii is the least stable.

i.
! Tl3ReF (GGA-PBE, relaxed); values from VASP
! Fermi-level density of states in states/eV per atom: 0.79
! Space group: Pm-3m (221)
! V in Å³ per atom: 30.14
&SYSTEM
  ibrav = 0, nat = 5, ntyp = 3
/
ATOMIC_SPECIES
Tl 204.38 Tl.upf
Re 186.21 Re.upf
F 19.00 F.upf
ATOMIC_POSITIONS crystal
Tl 0.000 0.500 0.000
Tl 0.500 0.000 0.000
Tl 0.000 0.000 0.500
Re 0.000 0.000 0.000
F 0.500 0.500 0.500
CELL_PARAMETERS angstrom
-3.277 -4.189 -0.163
1.106 -1.063 5.095
-4.044 3.104 1.525

ii.
! Tl3ReF (GGA-PBE, relaxed); values from VASP
! Fermi-level density of states in states/eV per atom: 0.33
! Space group: Pm-3m (221)
! V in Å³ per atom: 25.42
&SYSTEM
  ibrav = 0, nat = 5, ntyp = 3
/
ATOMIC_SPECIES
Tl 204.38 Tl.upf
F 19.00 F.upf
Re 186.21 Re.upf
ATOMIC_POSITIONS crystal
Tl 0.000 0.500 0.000
Tl 0.000 0.000 0.500
Tl 0.500 0.000 0.000
F 0.000 0.000 0.000
Re 0.500 0.500 0.500
CELL_PARAMETERS angstrom
-4.082 -0.967 2.771
-2.111 -2.332 -3.923
2.040 -4.348 1.488

Which one is most stable, and which one is least stable? i is the most stable of them, while ii is the least stable.

i.
! Tl2ReF (GGA-PBE, relaxed); values from VASP
! Fermi-level density of states in states/eV per atom: 0.69
! Space group: I-42d (122)
! V in Å³ per atom: 25.29
&SYSTEM
  ibrav = 0, nat = 8, ntyp = 3
/
ATOMIC_SPECIES
Tl 204.38 Tl.upf
Re 186.21 Re.upf
F 19.00 F.upf
ATOMIC_POSITIONS crystal
Tl 0.595 0.125 0.250
Tl 0.875 0.845 0.750
Tl 0.155 0.625 0.250
Tl 0.375 0.405 0.750
Re 0.750 0.250 0.500
Re 0.000 0.000 0.000
F 0.250 0.750 0.500
F 0.500 0.500 0.000
CELL_PARAMETERS angstrom
5.021 0.000 0.000
0.000 5.021 0.000
2.510 2.510 8.026

ii.
! Tl2ReF (GGA-PBE, relaxed); values from VASP
! Fermi-level density of states in states/eV per atom: 0.31
! Space group: Fm-3m (225)
! V in Å³ per atom: 20.05
&SYSTEM
  ibrav = 0, nat = 4, ntyp = 3
/
ATOMIC_SPECIES
Tl 204.38 Tl.upf
Re 186.21 Re.upf
F 19.00 F.upf
ATOMIC_POSITIONS crystal
Tl 0.250 0.250 0.250
Tl 0.750 0.750 0.750
Re 0.500 0.500 0.500
F 0.000 0.000 0.000
CELL_PARAMETERS angstrom
-2.667 2.767 2.943
-2.806 3.488 -1.842
-4.816 -0.480 0.067

Which one is most stable, and which one is least stable? ii is the most stable of them, while i is the least stable.

i.
! TlReF3 (GGA-PBE, relaxed); values from VASP
! Fermi-level density of states in states/eV per atom: 0.23
! Space group: Pm-3m (221)
! V in Å³ per atom: 20.53
&SYSTEM
  ibrav = 0, nat = 5, ntyp = 3
/
ATOMIC_SPECIES
F 19.00 F.upf
Tl 204.38 Tl.upf
Re 186.21 Re.upf
ATOMIC_POSITIONS crystal
F 0.000 0.000 0.500
F 0.500 0.000 0.000
F 0.000 0.500 0.000
Tl 0.000 0.000 0.000
Re 0.500 0.500 0.500
CELL_PARAMETERS angstrom
-0.600 4.482 -1.216
-4.634 -0.659 -0.142
-0.307 1.186 4.519

ii.
! TlReF3 (GGA-PBE, relaxed); values from VASP
! Fermi-level density of states in states/eV per atom: 0.83
! Space group: Pm-3m (221)
! V in Å³ per atom: 16.31
&SYSTEM
  ibrav = 0, nat = 5, ntyp = 3
/
ATOMIC_SPECIES
Tl 204.38 Tl.upf
F 19.00 F.upf
Re 186.21 Re.upf
ATOMIC_POSITIONS crystal
Tl 0.500 0.500 0.500
F 0.500 0.000 0.000
F 0.000 0.500 0.000
F 0.000 0.000 0.500
Re 0.000 0.000 0.000
CELL_PARAMETERS angstrom
-2.402 3.399 1.219
-1.663 -2.341 3.250
3.205 1.333 2.600

Which one is most stable, and which one is least stable? ii is the most stable of them, while i is the least stable.

i.
! TlRe2F (GGA-PBE, relaxed); values from VASP
! Fermi-level density of states in states/eV per atom: 0.80
! Space group: I-42d (122)
! V in Å³ per atom: 17.69
&SYSTEM
  ibrav = 0, nat = 8, ntyp = 3
/
ATOMIC_SPECIES
F 19.00 F.upf
Re 186.21 Re.upf
Tl 204.38 Tl.upf
ATOMIC_POSITIONS crystal
F 0.500 0.500 0.000
F 0.250 0.750 0.500
Re 0.622 0.625 0.250
Re 0.875 0.378 0.750
Re 0.128 0.125 0.250
Re 0.375 0.872 0.750
Tl 0.750 0.250 0.500
Tl 0.000 0.000 0.000
CELL_PARAMETERS angstrom
3.586 0.000 0.000
0.000 3.586 0.000
1.793 1.793 11.003

ii.
! TlRe2F (GGA-PBE, relaxed); values from VASP
! Fermi-level density of states in states/eV per atom: 1.60
! Space group: Fm-3m (225)
! V in Å³ per atom: 16.12
&SYSTEM
  ibrav = 0, nat = 4, ntyp = 3
/
ATOMIC_SPECIES
Re 186.21 Re.upf
Tl 204.38 Tl.upf
F 19.00 F.upf
ATOMIC_POSITIONS crystal
Re 0.250 0.250 0.250
Re 0.750 0.750 0.750
Tl 0.500 0.500 0.500
F 0.000 0.000 0.000
CELL_PARAMETERS angstrom
0.000 3.182 3.182
3.182 0.000 3.182
3.182 3.182 0.000

Which one is most stable, and which one is least stable? i is the most stable of them, while ii is the least stable.